DFT (GGA-PBE) results for a geometry-optimized HfPb structure.

abc: 3.2226 13.0440 7.7013
angles: 90.00 90.00 90.00
Space group Imm2 (No. 44)
One atom of each set of equivalent atoms:
Hf1 0.0000 0.0000 0.0000
Hf2 0.0000 0.3881 0.2193
Pb1 0.0000 0.0000 0.4068
Pb2 0.0000 0.3039 0.6155

Properties
Calculated density, g/cm³: 11.87
DFT total energy, hartree per atom: -0.2459
N(E_F), states/eV per atom: 0.8271
Energy of formation, eV per atom: 0.139